## a
## CrP2Os (PBE)

Data for crystalline CrP2Os at its relaxed geometry.

Cell: 2.8420 2.8420 7.3712 Å, 90.00 90.00 90.00°
With the nearest neighbours (Å) after each atom.
Space group P4mm (No. 99)
Unique sites:
Cr 0.0000 0.0000 0.0000  4 P 2.38
P 0.0000 0.0000 0.4362  4 Os 2.46
P 0.5000 0.5000 0.8276  4 Cr 2.38
Os 0.5000 0.5000 0.2442  4 P 2.46, 4 Cr 2.70



## b
## CrP2Os (PBE)

Data for crystalline CrP2Os at its relaxed geometry.

Cell: 7.4240 2.8528 4.9049 Å, 90.00 102.81 90.00°
With the nearest neighbours (Å) after each atom.
Space group C2/m (No. 12)
Unique sites:
Cr 0.0000 0.0000 0.0000  6 P 2.39-2.41
P 0.2479 0.5000 0.2316  3 Cr 2.39-2.41, 3 Os 2.49
Os 0.0000 0.5000 0.5000  6 P 2.49



Stability summary: most stable b, least stable a.



## a
## CrP2Os (PBE)

Data for crystalline CrP2Os at its relaxed geometry.

Cell: 2.8908 2.8908 5.7631 Å, 90.00 90.00 90.00°
With the nearest neighbours (Å) after each atom.
Space group P4/mmm (No. 123)
Unique sites:
Cr 0.0000 0.0000 0.0000  8 P 2.44
P 0.5000 0.5000 0.2327  4 Cr 2.44, 4 Os 2.56, 1 P 2.68
Os 0.0000 0.0000 0.5000  8 P 2.56



## b
## CrP2Os (PBE)

Data for crystalline CrP2Os at its relaxed geometry.

Cell: 7.8881 2.9438 4.7405 Å, 90.00 106.31 90.00°
With the nearest neighbours (Å) after each atom.
Space group Cm (No. 8)
Unique sites:
Cr 0.0000 0.0000 0.0000  5 P 2.20-2.39
P 0.2177 0.5000 0.9759  3 Cr 2.20-2.29, 2 Os 2.37
P 0.4754 0.0000 0.3848  2 Cr 2.39, 3 Os 2.42-2.44
Os 0.2264 0.0000 0.5878  5 P 2.37-2.44



Stability summary: most stable b, least stable a.



## a
## CrP2Os (PBE)

Data for crystalline CrP2Os at its relaxed geometry.

Cell: 2.8342 5.0237 7.4856 Å, 90.00 90.00 90.00°
With the nearest neighbours (Å) after each atom.
Space group Immm (No. 71)
Unique sites:
Cr 0.0000 0.0000 0.0000  4 P 2.30
P 0.0000 0.5000 0.2583  2 Cr 2.30, 2 Os 2.40
Os 0.0000 0.0000 0.5000  4 P 2.40



## b
## CrP2Os (PBE)

Data for crystalline CrP2Os at its relaxed geometry.

Cell: 3.7766 3.7766 7.3465 Å, 90.00 90.00 90.00°
With the nearest neighbours (Å) after each atom.
Space group I-4m2 (No. 119)
Unique sites:
Cr 0.0000 0.0000 0.0000  4 Os 2.63, 8 P 2.63-2.67
P 0.0000 0.0000 0.5000  4 Os 2.63, 4 P 2.63, 4 Cr 2.67
P 0.0000 0.5000 0.2500  4 Cr 2.63, 4 P 2.63, 4 Os 2.67
Os 0.0000 0.5000 0.7500  4 Cr 2.63, 8 P 2.63-2.67



Stability summary: most stable b, least stable a.



## a
## CrP2Os (PBE)

Data for crystalline CrP2Os at its relaxed geometry.

Cell: 2.9734 3.2827 10.7979 Å, 90.00 90.00 90.00°
With the nearest neighbours (Å) after each atom.
Space group Imm2 (No. 44)
Unique sites:
Cr 0.0000 0.0000 0.0000  6 P 2.30-2.38
P 0.0000 0.0000 0.5812  4 Cr 2.38, 2 Os 2.43
P 0.0000 0.5000 0.3380  2 Cr 2.30, 4 Os 2.42
Os 0.0000 0.5000 0.7472  6 P 2.42-2.43



## b
## CrP2Os (PBE)

Data for crystalline CrP2Os at its relaxed geometry.

Cell: 2.8427 5.0303 7.5028 Å, 90.00 90.00 90.00°
With the nearest neighbours (Å) after each atom.
Space group Cmmm (No. 65)
Unique sites:
Cr 0.0000 0.0000 0.0000  4 P 2.29
P 0.0000 0.5000 0.2395  2 Cr 2.29, 2 Os 2.42
Os 0.0000 0.0000 0.5000  4 P 2.42



## c
## CrP2Os (PBE)

Data for crystalline CrP2Os at its relaxed geometry.

Cell: 3.1188 3.8176 4.8273 Å, 90.00 90.00 90.00°
With the nearest neighbours (Å) after each atom.
Space group Pmmm (No. 47)
Unique sites:
Cr 0.0000 0.0000 0.0000  8 P 2.69, 4 Os 2.87
P 0.5000 0.5000 0.2213  1 P 2.14, 2 Os 2.34
Os 0.5000 0.0000 0.5000  4 P 2.34



Stability summary: most stable a, least stable b.



## a
## Cr3POs (PBE)

Data for crystalline Cr3POs at its relaxed geometry.

Cell: 4.6706 4.6706 4.6706 Å, 90.00 90.00 90.00°
With the nearest neighbours (Å) after each atom.
Space group Pm-3m (No. 221)
Unique sites:
Cr 0.0000 0.0000 0.5000  2 Os 2.34
P 0.5000 0.5000 0.5000  12 Cr 3.30
Os 0.0000 0.0000 0.0000  6 Cr 2.34



## b
## Cr3POs (PBE)

Data for crystalline Cr3POs at its relaxed geometry.

Cell: 4.1063 4.1063 4.1063 Å, 90.00 90.00 90.00°
With the nearest neighbours (Å) after each atom.
Space group Pm-3m (No. 221)
Unique sites:
Cr 0.0000 0.0000 0.5000  2 P 2.05
P 0.0000 0.0000 0.0000  6 Cr 2.05
Os 0.5000 0.5000 0.5000  12 Cr 2.90



Stability summary: most stable b, least stable a.



## a
## PaCrOs (PBE)

Data for crystalline PaCrOs at its relaxed geometry.

Cell: 3.9406 3.9406 9.0925 Å, 90.00 90.00 120.00°
With the nearest neighbours (Å) after each atom.
Space group P6_3mc (No. 186)
Unique sites:
Pa 0.3333 0.6667 0.0000  4 Os 2.79-2.94
Cr 0.0000 0.0000 0.2623  3 Os 2.40
Os 0.3333 0.6667 0.6771  3 Cr 2.40



## b
## PaCrOs (PBE)

Data for crystalline PaCrOs at its relaxed geometry.

Cell: 3.9561 3.9561 4.2132 Å, 90.00 90.00 120.00°
With the nearest neighbours (Å) after each atom.
Space group P3m1 (No. 156)
Unique sites:
Pa 0.0000 0.0000 0.0000  3 Cr 2.91, 3 Os 2.91
Cr 0.6667 0.3333 0.4269  3 Os 2.36
Os 0.3333 0.6667 0.5717  3 Cr 2.36



Stability summary: most stable b, least stable a.



## a
## Cr3OsPb (PBE)

Data for crystalline Cr3OsPb at its relaxed geometry.

Cell: 4.7622 4.7622 4.7622 Å, 90.00 90.00 90.00°
With the nearest neighbours (Å) after each atom.
Space group Pm-3m (No. 221)
Unique sites:
Cr 0.0000 0.0000 0.5000  2 Os 2.38
Os 0.0000 0.0000 0.0000  6 Cr 2.38
Pb 0.5000 0.5000 0.5000  12 Cr 3.37



## b
## Cr3OsPb (PBE)

Data for crystalline Cr3OsPb at its relaxed geometry.

Cell: 4.6460 4.6460 4.6460 Å, 90.00 90.00 90.00°
With the nearest neighbours (Å) after each atom.
Space group Pm-3m (No. 221)
Unique sites:
Cr 0.0000 0.0000 0.5000  2 Pb 2.32
Os 0.5000 0.5000 0.5000  12 Cr 3.29
Pb 0.0000 0.0000 0.0000  6 Cr 2.32



Stability summary: most stable a, least stable b.



## a
## Cr2OsPd2 (PBE)

Data for crystalline Cr2OsPd2 at its relaxed geometry.

Cell: 3.2497 3.2497 13.7330 Å, 90.00 90.00 90.00°
With the nearest neighbours (Å) after each atom.
Space group I4/mmm (No. 139)
Unique sites:
Cr 0.0000 0.5000 0.2500  4 Cr 2.30
Os 0.0000 0.0000 0.0000  8 Pd 2.68
Pd 0.0000 0.0000 0.3991  4 Cr 2.61, 4 Os 2.68, 1 Pd 2.77



## b
## Cr2OsPd2 (PBE)

Data for crystalline Cr2OsPd2 at its relaxed geometry.

Cell: 7.2568 7.2568 2.6563 Å, 90.00 90.00 90.00°
With the nearest neighbours (Å) after each atom.
Space group P4/mbm (No. 127)
Unique sites:
Cr 0.1736 0.3264 0.0000  6 Pd 2.44-2.57, 2 Cr 2.66
Os 0.0000 0.0000 0.5000  2 Os 2.66, 4 Pd 2.86
Pd 0.1264 0.6264 0.5000  6 Cr 2.44-2.57, 3 Pd 2.59-2.66



Stability summary: most stable b, least stable a.



## a
## RbCr3Os (PBE)

Data for crystalline RbCr3Os at its relaxed geometry.

Cell: 4.3422 4.3422 4.3422 Å, 90.00 90.00 90.00°
With the nearest neighbours (Å) after each atom.
Space group Pm-3m (No. 221)
Unique sites:
Rb 0.0000 0.0000 0.0000  6 Cr 2.17
Cr 0.0000 0.0000 0.5000  2 Rb 2.17
Os 0.5000 0.5000 0.5000  12 Cr 3.07



## b
## RbCr3Os (PBE)

Data for crystalline RbCr3Os at its relaxed geometry.

Cell: 4.9396 4.9396 4.9396 Å, 90.00 90.00 90.00°
With the nearest neighbours (Å) after each atom.
Space group Pm-3m (No. 221)
Unique sites:
Rb 0.0000 0.0000 0.0000  12 Cr 3.49
Cr 0.0000 0.5000 0.5000  2 Os 2.47
Os 0.5000 0.5000 0.5000  6 Cr 2.47



Stability summary: most stable b, least stable a.



## a
## CrRe2Os (PBE)

Data for crystalline CrRe2Os at its relaxed geometry.

Cell: 6.1402 6.1402 6.1402 Å, 90.00 90.00 90.00°
With the nearest neighbours (Å) after each atom.
Space group F-43m (No. 216)
Unique sites:
Cr 0.0000 0.0000 0.0000  4 Re 2.66, 4 Os 2.66
Re 0.0000 0.0000 0.5000  4 Re 2.66, 4 Os 2.66
Re 0.2500 0.2500 0.7500  4 Cr 2.66, 4 Re 2.66
Os 0.2500 0.2500 0.2500  4 Cr 2.66, 4 Re 2.66



## b
## CrRe2Os (PBE)

Data for crystalline CrRe2Os at its relaxed geometry.

Cell: 2.7199 4.1411 5.2231 Å, 90.00 104.99 90.00°
With the nearest neighbours (Å) after each atom.
Space group Pm (No. 6)
Unique sites:
Cr 0.0000 0.0000 0.0000  3 Re 2.44-2.53, 2 Os 2.65, 2 Cr 2.72
Re 0.3101 0.0000 0.5008  2 Cr 2.53-2.79, 6 Re 2.72-2.77, 2 Os 2.84
Re 0.9323 0.5000 0.7456  2 Cr 2.44, 2 Os 2.67-2.71, 2 Re 2.72
Os 0.6482 0.5000 0.2166  4 Cr 2.65-2.76, 7 Re 2.67-2.89, 2 Os 2.72



Stability summary: most stable b, least stable a.



## a
## CrRe2Os (PBE)

Data for crystalline CrRe2Os at its relaxed geometry.

Cell: 2.7212 2.7212 7.6384 Å, 90.00 90.00 90.00°
With the nearest neighbours (Å) after each atom.
Space group P4/mmm (No. 123)
Unique sites:
Cr 0.0000 0.0000 0.0000  8 Re 2.67, 4 Cr 2.72
Re 0.5000 0.5000 0.2419  4 Cr 2.67, 4 Re 2.72, 4 Os 2.75
Os 0.0000 0.0000 0.5000  4 Os 2.72, 8 Re 2.75



## b
## CrRe2Os (PBE)

Data for crystalline CrRe2Os at its relaxed geometry.

Cell: 9.0082 2.7328 4.6890 Å, 90.00 99.83 90.00°
With the nearest neighbours (Å) after each atom.
Space group C2/m (No. 12)
Unique sites:
Cr 0.0000 0.0000 0.0000  6 Re 2.69-2.73, 4 Os 2.71, 2 Cr 2.73
Re 0.2481 0.0000 0.7512  3 Cr 2.69-2.73, 6 Re 2.70-2.73, 3 Os 2.71-2.73
Os 0.0000 0.5000 0.5000  6 Re 2.71-2.73, 4 Cr 2.71, 2 Os 2.73



Stability summary: most stable b, least stable a.



## a
## Cr2OsRh (PBE)

Data for crystalline Cr2OsRh at its relaxed geometry.

Cell: 2.8434 4.4161 8.4532 Å, 90.00 90.00 90.00°
With the nearest neighbours (Å) after each atom.
Space group Cmm2 (No. 35)
Unique sites:
Cr 0.0000 0.0000 0.0000  2 Cr 2.34, 2 Rh 2.55
Cr 0.0000 0.5000 0.2193  2 Cr 2.34, 2 Os 2.53
Os 0.0000 0.0000 0.4675  2 Cr 2.53, 4 Os 2.63, 2 Rh 2.78
Rh 0.0000 0.5000 0.7500  2 Cr 2.55, 6 Rh 2.63-2.84, 2 Os 2.78



## b
## Cr2OsRh (PBE)

Data for crystalline Cr2OsRh at its relaxed geometry.

Cell: 2.6660 2.6660 25.6575 Å, 90.00 90.00 120.00°
With the nearest neighbours (Å) after each atom.
Space group R-3m (No. 166, hexagonal axes)
Unique sites:
Cr 0.0000 0.0000 0.2495  3 Rh 2.62, 3 Os 2.65, 6 Cr 2.67
Os 0.0000 0.0000 0.0000  6 Cr 2.65, 6 Os 2.67
Rh 0.0000 0.0000 0.5000  6 Cr 2.62, 6 Rh 2.67



## c
## Cr2OsRh (PBE)

Data for crystalline Cr2OsRh at its relaxed geometry.

Cell: 3.7831 3.7831 7.2949 Å, 90.00 90.00 90.00°
With the nearest neighbours (Å) after each atom.
Space group I4/mmm (No. 139)
Unique sites:
Cr 0.0000 0.5000 0.2500  4 Os 2.63, 4 Rh 2.63, 4 Cr 2.68
Os 0.0000 0.0000 0.0000  8 Cr 2.63, 4 Rh 2.68
Rh 0.0000 0.0000 0.5000  8 Cr 2.63, 4 Os 2.68



Stability summary: most stable c, least stable a.